No. 1
Entry from the Alexandria database: an optimized crystal structure of CsCSe2Br (PBE-GGA).

As for the uncorrected energy: -3.242 eV/atom. The value obtained for the density of states at the Fermi level is 1.014 states/eV/atom.

Lattice parameters (Å, degrees): 4.4872 4.4872 8.4154 90.00 90.00 90.00
Closest atoms and distances in Å follow each position.
Space group P4/mmm (No. 123)
Inequivalent atoms, fractional coordinates:
1 Cs 0.0000 0.0000 0.0000 x1  4 Br 3.17
2 C 0.5000 0.5000 0.5000 x1  4 Se 2.24
3 Se 0.0000 0.5000 0.5000 x2  2 C 2.24
4 Br 0.5000 0.5000 0.0000 x1  4 Cs 3.17

***

No. 2
Entry from the Alexandria database: an optimized crystal structure of Ce3Co2As4 (PBE-GGA).

The calculation puts the formation energy from the elements at -0.95 eV per atom. As for the uncorrected energy: -6.575 eV/atom. The value obtained for the density of states at the Fermi level is 1.319 states/eV/atom.

Lattice parameters (Å, degrees): 11.2434 4.1713 8.4388 90.00 113.83 90.00
Closest atoms and distances in Å follow each position.
Space group C2/m (No. 12)
Inequivalent atoms, fractional coordinates:
1 Ce 0.0000 0.0000 0.0000 x2  6 As 2.90-3.05
2 Ce 0.1303 0.5000 0.7006 x4  5 As 2.87-3.19, 3 Co 2.98-3.19
3 Co 0.1902 0.5000 0.3873 x4  4 As 2.36-2.40
4 As 0.0946 0.0000 0.3933 x4  3 Co 2.36-2.38
5 As 0.1958 0.5000 0.1056 x4  1 Co 2.40

***

No. 3
Entry from the Alexandria database: an optimized crystal structure of La3SnTe6 (PBE-GGA).

As for the uncorrected energy: -4.969 eV/atom. The value obtained for the density of states at the Fermi level is 0.354 states/eV/atom.

Lattice parameters (Å, degrees): 12.5265 15.5785 7.7307 90.00 90.00 90.00
Closest atoms and distances in Å follow each position.
Space group Cmc2_1 (No. 36)
Inequivalent atoms, fractional coordinates:
1 La 0.0000 0.0959 0.0000 x4  7 Te 3.21-3.43
2 La 0.1836 0.4034 0.9018 x8  7 Te 3.18-3.41
3 Sn 0.0000 0.2984 0.3611 x4  4 Te 2.90-3.01
4 Te 0.0000 0.2775 0.7487 x4  1 Sn 3.01, 2 La 3.25
5 Te 0.0000 0.4702 0.1975 x4  1 Sn 2.96
6 Te 0.1619 0.0344 0.7023 x8  4 La 3.18-3.27
7 Te 0.1787 0.2312 0.1636 x8  1 Sn 2.90

***

No. 4
Entry from the Alexandria database: an optimized crystal structure of Sr3Tb3MgS8 (PBE-GGA).

As for the uncorrected energy: -5.555 eV/atom. The value obtained for the density of states at the Fermi level is 0.252 states/eV/atom.

Lattice parameters (Å, degrees): 7.9954 7.9954 20.5402 90.00 90.00 120.00
Closest atoms and distances in Å follow each position.
Space group R-3m (No. 166, hexagonal axes)
Inequivalent atoms, fractional coordinates:
1 Sr 0.0000 0.5000 0.0000 x9  6 S 2.96-2.99
2 Tb 0.0000 0.5000 0.5000 x9  6 S 2.78-2.79
3 Mg 0.0000 0.0000 0.5000 x3  6 S 2.70
4 S 0.0000 0.0000 0.2434 x6  3 Tb 2.79, 3 Sr 2.96
5 S 0.0089 0.5045 0.2393 x18  1 Mg 2.70, 2 Tb 2.78, 2 Sr 2.99

***

No. 5
Entry from the Alexandria database: an optimized crystal structure of CsAgBrCl (PBE-GGA).

As for the uncorrected energy: -2.921 eV/atom. The value obtained for the density of states at the Fermi level is 0.000 states/eV/atom.

Lattice parameters (Å, degrees): 4.8227 4.6551 13.1792 90.00 90.00 90.00
Closest atoms and distances in Å follow each position.
Space group Amm2 (No. 38)
Inequivalent atoms, fractional coordinates:
1 Cs 0.0000 0.0000 0.0000 x2  2 Cl 3.43, 4 Br 3.67
2 Ag 0.5000 0.0000 0.7654 x2  2 Cl 2.60, 2 Br 2.82
3 Br 0.5000 0.0000 0.3858 x2  2 Ag 2.82
4 Cl 0.0000 0.0000 0.6913 x2  2 Ag 2.60

***

No. 6
Entry from the Alexandria database: an optimized crystal structure of BaMoW2 (PBE-GGA).

The calculation puts the formation energy from the elements at 0.92 eV per atom. As for the uncorrected energy: -8.743 eV/atom. The value obtained for the density of states at the Fermi level is 0.770 states/eV/atom.

Lattice parameters (Å, degrees): 3.3182 4.7855 10.2150 90.00 90.00 90.00
Closest atoms and distances in Å follow each position.
Space group Cmmm (No. 65)
Inequivalent atoms, fractional coordinates:
1 Ba 0.0000 0.0000 0.0000 x2  4 Ba 2.91
2 Mo 0.0000 0.0000 0.5000 x2  4 W 2.66, 4 Mo 2.91
3 W 0.0000 0.5000 0.2969 x4  2 Mo 2.66, 4 W 2.91

***

No. 7
Entry from the Alexandria database: an optimized crystal structure of UGaCl5 (PBE-GGA).

As for the uncorrected energy: -4.783 eV/atom. The value obtained for the density of states at the Fermi level is 0.360 states/eV/atom.

Lattice parameters (Å, degrees): 12.2752 8.6700 10.4765 90.00 116.80 90.00
Closest atoms and distances in Å follow each position.
Space group C2/c (No. 15)
Inequivalent atoms, fractional coordinates:
1 U 0.0000 0.0000 0.0000 x4  6 Cl 2.56-2.74
2 Ga 0.0000 0.4898 0.2500 x4  4 Cl 2.84-3.02
3 Cl 0.0000 0.0915 0.2500 x4  2 U 2.74
4 Cl 0.0503 0.2863 0.9678 x8  1 U 2.62, 1 Ga 2.84
5 Cl 0.2286 0.0615 0.6332 x8  1 U 2.56

***

No. 8
Entry from the Alexandria database: an optimized crystal structure of DyGeSe4 (PBE-GGA).

As for the uncorrected energy: -4.608 eV/atom. The value obtained for the density of states at the Fermi level is 0.584 states/eV/atom.

Lattice parameters (Å, degrees): 5.8793 9.2861 6.7996 90.00 111.53 90.00
Closest atoms and distances in Å follow each position.
Space group P2_1/m (No. 11)
Inequivalent atoms, fractional coordinates:
1 Dy 0.1120 0.2500 0.1573 x2  7 Se 2.88-3.01
2 Ge 0.3003 0.7500 0.4354 x2  4 Se 2.36-2.43
3 Se 0.0329 0.5651 0.2165 x4  1 Ge 2.43
4 Se 0.3219 0.2500 0.6121 x2  1 Ge 2.36
5 Se 0.3830 0.7500 0.8071 x2  1 Ge 2.39

***

No. 9
Entry from the Alexandria database: an optimized crystal structure of Sc4SnSe2 (PBE-GGA).

As for the uncorrected energy: -6.317 eV/atom. The value obtained for the density of states at the Fermi level is 0.883 states/eV/atom.

Lattice parameters (Å, degrees): 3.9433 12.5038 12.7999 90.00 90.00 90.00
Closest atoms and distances in Å follow each position.
Space group Cmcm (No. 63)
Inequivalent atoms, fractional coordinates:
1 Sc 0.0000 0.0000 0.0000 x4  4 Se 2.70
2 Sc 0.0000 0.2680 0.1253 x8  3 Se 2.63-2.72
3 Sc 0.0000 0.4341 0.7500 x4  2 Se 2.62, 2 Sn 2.90
4 Sn 0.0000 0.1046 0.7500 x4  6 Sc 2.90-2.99
5 Se 0.0000 0.3642 0.5574 x8  6 Sc 2.62-2.72

***

No. 10
Entry from the Alexandria database: an optimized crystal structure of BaRuS2 (PBE-GGA).

As for the uncorrected energy: -5.196 eV/atom. The value obtained for the density of states at the Fermi level is 1.078 states/eV/atom.

Lattice parameters (Å, degrees): 3.8342 3.8342 23.9357 90.00 90.00 120.00
Closest atoms and distances in Å follow each position.
Space group R-3m (No. 166, hexagonal axes)
Inequivalent atoms, fractional coordinates:
1 Ba 0.0000 0.0000 0.0000 x3  2 S 2.98
2 Ru 0.0000 0.0000 0.5000 x3  6 S 2.43
3 S 0.0000 0.0000 0.1244 x6  3 Ru 2.43

***

No. 11
Entry from the Alexandria database: an optimized crystal structure of Rb2La2PuO6 (PBE-GGA).

As for the uncorrected energy: -7.813 eV/atom. The value obtained for the density of states at the Fermi level is 0.210 states/eV/atom.

Lattice parameters (Å, degrees): 6.3707 10.9423 6.9783 90.00 106.58 90.00
Closest atoms and distances in Å follow each position.
Space group C2/m (No. 12)
Inequivalent atoms, fractional coordinates:
1 Rb 0.0000 0.1649 0.0000 x4  6 O 2.99-3.19
2 La 0.0000 0.3344 0.5000 x4  6 O 2.41-2.49
3 Pu 0.0000 0.0000 0.5000 x2  6 O 2.21-2.29
4 O 0.2045 0.1604 0.6648 x8  1 Pu 2.29, 2 La 2.41-2.47
5 O 0.2468 0.0000 0.3324 x4  1 Pu 2.21

***

No. 12
Entry from the Alexandria database: an optimized crystal structure of NdMg2In2 (PBE-GGA).

The calculation puts the formation energy from the elements at -0.03 eV per atom. As for the uncorrected energy: -2.719 eV/atom. The value obtained for the density of states at the Fermi level is 0.826 states/eV/atom.

Lattice parameters (Å, degrees): 5.2079 5.2079 12.3460 90.00 90.00 120.00
Closest atoms and distances in Å follow each position.
Space group P6_3/mmc (No. 194)
Inequivalent atoms, fractional coordinates:
1 Nd 0.0000 0.0000 0.2500 x2  5 In 3.01-3.09
2 Mg 0.3333 0.6667 0.1013 x4  6 In 3.26-3.52, 3 Nd 3.52
3 In 0.0000 0.0000 0.0000 x2  2 Nd 3.09, 6 Mg 3.26
4 In 0.3333 0.6667 0.7500 x2  3 Nd 3.01

***

> The highest uncorrected energy belongs to which entry?

NdMg2In2